This record from Alexandria describes AcMoRuO6 after structural relaxation. The functional is GGA+U.

Lattice parameters (Å, degrees): 5.6832 5.6832 8.1940 90.00 90.00 120.00
Space group P-31c (No. 163)
Unique sites:
1 Ac 0.3333 0.6667 0.2500
2 Mo 0.3333 0.6667 0.7500
3 Ru 0.0000 0.0000 0.0000
4 O 0.0799 0.3592 0.6138

Output
For the energy, the calculation gives -7.2830 eV/atom. The calculated volume is 229.2 Å³ per cell. As for the crystal system: trigonal.